A relaxed structure of Sr8Pt2Au3, computed with GGA-PBE.

Calculated values
The calculation puts the formation energy at -0.640 eV/atom. The calculation puts the calculated volume at 430 Å³ per cell. The crystal system is orthorhombic. Its space-group type is Cmmm. As for the total energy: -3.361 eV/atom.

Cell: 5.334 9.243 9.241 Å, 70.69 90.00 90.00°
Fractional coordinates of all 13 atoms:
Sr: 0.000 0.629 0.629
Sr: 0.500 0.879 0.377
Pt: 0.500 0.252 0.252
Pt: 0.500 0.748 0.748
Au: 0.000 0.256 0.744
Sr: 0.500 0.623 0.121
Sr: 0.000 0.126 0.127
Sr: 0.500 0.121 0.623
Au: 0.000 0.744 0.256
Sr: 0.500 0.377 0.879
Au: 0.500 0.000 0.000
Sr: 0.000 0.874 0.873
Sr: 0.000 0.371 0.371


A relaxed structure of Sr2PtAu, computed with GGA-PBE.

Calculated values
The calculation puts the formation energy at -0.816 eV/atom. The calculation puts the calculated volume at 113 Å³ per cell. The crystal system is orthorhombic. Its space-group type is Amm2. As for the total energy: -3.986 eV/atom.

Cell: 6.113 6.113 4.647 Å, 90.02 90.02 40.74°
Fractional coordinates of all 4 atoms:
Sr: 0.736 0.736 0.625
Sr: 0.015 0.015 0.125
Pt: 0.298 0.298 0.125
Au: 0.451 0.451 0.625


A relaxed structure of Sr3PtAu, computed with GGA-PBE.

Calculated values
As for the offset from the most stable computed form: 250.3 meV/atom. The calculation puts the formation energy at -0.459 eV/atom. The calculation puts the calculated volume at 194 Å³ per cell. The crystal system is cubic. Its space-group type is Pm-3m. As for the total energy: -3.332 eV/atom.

Cell: 5.785 5.785 5.785 Å, 90.00 90.00 90.00°
Fractional coordinates of all 5 atoms:
Sr: 0.500 0.000 0.000
Sr: 0.000 0.000 0.500
Au: 0.500 0.500 0.500
Sr: 0.000 0.500 0.000
Pt: 0.000 0.000 0.000


A relaxed structure of SrPt2Au3, computed with GGA-PBE.

Calculated values
The calculation puts the formation energy at -0.209 eV/atom. The calculation puts the calculated volume at 233 Å³ per cell. The crystal system is trigonal. Its space-group type is R-3m. As for the total energy: -4.141 eV/atom.

Cell: 5.947 5.947 8.342 Å, 69.12 69.12 60.00°
Fractional coordinates of all 12 atoms:
Au: 0.235 0.729 0.308
Sr: 0.221 0.221 0.337
Sr: 0.779 0.779 0.663
Au: 0.729 0.235 0.308
Pt: 0.000 0.500 0.000
Au: 0.271 0.271 0.692
Au: 0.765 0.271 0.692
Au: 0.271 0.765 0.692
Au: 0.729 0.729 0.308
Pt: 0.000 0.000 0.000
Pt: 0.500 0.500 0.000
Pt: 0.500 0.000 0.000


A relaxed structure of SrPt2Au4, computed with GGA-PBE.

Calculated values
As for the offset from the most stable computed form: 0.0 meV/atom. The calculation puts the formation energy at -0.375 eV/atom. The calculation puts the calculated volume at 138 Å³ per cell. The crystal system is monoclinic. Its space-group type is C2/m. As for the total energy: -4.214 eV/atom.

Cell: 5.529 5.718 5.718 Å, 76.32 60.86 60.86°
Fractional coordinates of all 7 atoms:
Au: 0.699 0.000 0.602
Au: 0.301 0.000 0.398
Pt: 0.249 0.500 0.500
Au: 0.301 0.398 0.000
Sr: 0.000 0.000 0.000
Pt: 0.751 0.500 0.499
Au: 0.699 0.602 0.000


A relaxed structure of SrPtAu2, computed with GGA-PBE.

Calculated values
As for the offset from the most stable computed form: 56.3 meV/atom. The calculation puts the formation energy at -0.461 eV/atom. The calculation puts the calculated volume at 102 Å³ per cell. The crystal system is monoclinic. Its space-group type is Pm. As for the total energy: -4.030 eV/atom.

Cell: 4.594 4.084 6.794 Å, 53.20 90.00 90.00°
Fractional coordinates of all 4 atoms:
Pt: 0.000 0.364 0.511
Sr: 0.500 0.642 0.734
Au: 0.000 0.883 0.993
Au: 0.500 0.612 0.263